1.
KBa2Cr | PBE | optimized geometry

```
KBa2Cr
1.0
7.835 -2.180 0.000
7.835 2.180 0.000
-2.695 0.000 5.924
K Ba Cr
1 2 1
direct
0.000 0.000 0.000
0.195 0.195 0.695
0.393 0.393 0.393
0.704 0.704 0.204
```

The crystal system is monoclinic. Its final energy is -3.09 eV per atom. Its energy of formation is 0.5473 eV/atom.

=====

2.
Ca2ReRu2 | PBE | optimized geometry

```
Ca2ReRu2
1.0
-1.703 1.703 9.464
1.703 -1.703 9.464
1.703 1.703 -9.464
Ca Re Ru
2 1 2
direct
0.106 0.106 0.000
0.894 0.894 0.000
0.500 0.500 0.000
0.250 0.750 0.500
0.750 0.250 0.500
```

The crystal system is tetragonal. Its final energy is -6.15 eV per atom. Its energy of formation is 0.8549 eV/atom.

=====

- Which value of final energy does entry 2 give?
  -6.15 eV per atom